First-principles (PBE) data for an optimized crystal structure of Sm2SiAu, as listed in Alexandria.

abc: 3.5919 3.5919 7.4269
angles: 90.00 90.00 90.00
Closest atoms and distances in Å follow each position.
Positions (direct):
Au  0.5000  0.5000  0.5000  8 Sm 3.18
Sm  0.0000  0.0000  0.7575  4 Si 3.11, 4 Au 3.18
Sm  0.0000  0.0000  0.2425  4 Si 3.11, 4 Au 3.18
Si  0.5000  0.5000  0.0000  8 Sm 3.11

Formation energy from raw total energies (meV per atom): -643
Space-group type: P4/mmm, No. 123
Crystal system: tetragonal

---

First-principles (PBE) data for an optimized crystal structure of Ho2GePb, as listed in Alexandria.

abc: 4.0190 4.0190 8.3996
angles: 76.16 76.16 60.00
Closest atoms and distances in Å follow each position.
Positions (direct):
Ho  0.7343  0.7343  0.7970  3 Ge 2.84
Ho  0.2657  0.2657  0.2030  3 Ge 2.84
Ge  0.0000  0.0000  0.0000  6 Ho 2.84
Pb  0.5000  0.5000  0.5000  6 Ho 3.34

Energy of formation (eV per atom): -0.559
Space-group type: R-3m, No. 166
Crystal system: trigonal

---

First-principles (PBE) data for an optimized crystal structure of LiMgCl2, as listed in Alexandria.

abc: 10.0651 10.0651 10.0651
angles: 21.83 21.83 21.83
Closest atoms and distances in Å follow each position.
Positions (direct):
Cl  0.2116  0.2116  0.2116  3 Li 2.22
Li  0.5354  0.5354  0.5354  3 Cl 2.22
Mg  0.7325  0.7325  0.7325  3 Cl 2.57
Cl  0.0205  0.0205  0.0205  3 Mg 2.57

Formation energy from raw total energies (meV per atom): -1260
Relative energy among the computed polymorphs (eV/atom): 0.034
Space-group type: R3m, No. 160
Crystal system: trigonal

---

First-principles (PBE) data for an optimized crystal structure of TaSbTe2Os, as listed in Alexandria.

abc: 5.2681 5.2681 4.9397
angles: 90.00 90.00 90.00
Closest atoms and distances in Å follow each position.
Positions (direct):
Os  0.0000  0.0000  0.0000  2 Sb 2.47, 4 Te 2.63
Sb  0.0000  0.0000  0.5000  2 Os 2.47
Te  0.0000  0.5000  0.0000  2 Os 2.63
Ta  0.5000  0.5000  0.5000  8 Te 3.61, 4 Sb 3.73
Te  0.5000  0.0000  0.0000  2 Os 2.63

Formation energy from raw total energies (meV per atom): 1320
Relative energy among the computed polymorphs (eV/atom): 0.000
Space-group type: P4/mmm, No. 123
Crystal system: tetragonal

---

First-principles (PBE) data for an optimized crystal structure of BaLaRe3, as listed in Alexandria.

abc: 5.0712 5.0712 5.0712
angles: 90.00 90.00 90.00
Closest atoms and distances in Å follow each position.
Positions (direct):
La  0.5000  0.5000  0.5000  12 Re 3.59
Re  0.0000  0.0000  0.5000  2 Ba 2.54
Re  0.0000  0.5000  0.0000  2 Ba 2.54
Re  0.5000  0.0000  0.0000  2 Ba 2.54
Ba  0.0000  0.0000  0.0000  6 Re 2.54

Energy of formation (eV per atom): 2.930
Relative energy among the computed polymorphs (eV/atom): 0.491
Space-group type: Pm-3m, No. 221
Crystal system: cubic

---

First-principles (PBE) data for an optimized crystal structure of RuBr2, as listed in Alexandria.

abc: 4.5008 4.5008 4.5008
angles: 60.00 60.00 60.00
Closest atoms and distances in Å follow each position.
Positions (direct):
Ru  0.0000  0.0000  0.0000  8 Br 2.76
Br  0.2500  0.2500  0.2500  4 Ru 2.76
Br  0.7500  0.7500  0.7500  4 Ru 2.76

Formation energy from raw total energies (meV per atom): 468
Relative energy among the computed polymorphs (eV/atom): 0.534
Space-group type: Fm-3m, No. 225
Crystal system: cubic

---

First-principles (PBE) data for an optimized crystal structure of RbAsAuBr6, as listed in Alexandria.

abc: 7.9047 7.1238 7.3615
angles: 85.64 81.28 55.89
Closest atoms and distances in Å follow each position.
Positions (direct):
Au  0.3307  0.3395  0.4987  4 Br 2.59-2.62
As  0.6803  0.6371  0.5006  4 Br 2.48-2.75
Br  0.9655  0.6524  0.6593  1 Au 2.62, 1 As 2.75
Br  0.6633  0.3819  0.7398  1 As 2.48
Br  0.3739  0.0340  0.7368  1 Au 2.59
Br  0.3830  0.6474  0.3391  1 Au 2.62, 1 As 2.75
Br  0.5991  0.0244  0.2624  1 Au 2.59
Rb  0.0439  0.9166  0.9964  6 Br 3.44-3.63
Br  0.9601  0.3668  0.2669  1 As 2.48

Formation energy from raw total energies (meV per atom): -585
Space-group type: P1, No. 1
Crystal system: triclinic

---

First-principles (PBE) data for an optimized crystal structure of Sc5In2NiRu2, as listed in Alexandria.

abc: 3.2549 11.0657 11.0657
angles: 90.00 90.00 90.00
Closest atoms and distances in Å follow each position.
Positions (direct):
In  0.0000  0.3252  0.8252  1 Ru 2.96, 6 Sc 3.18-3.30, 2 In 3.25
Ni  0.0000  0.5000  0.5000  8 Sc 2.79
In  0.0000  0.8252  0.6748  1 Ru 2.96, 6 Sc 3.18-3.30, 2 In 3.25
In  0.0000  0.6748  0.1748  1 Ru 2.96, 6 Sc 3.18-3.30, 2 In 3.25
Ru  0.0000  0.1363  0.6363  6 Sc 2.60-2.68
Sc  0.5000  0.9339  0.1940  2 Ru 2.60, 2 Ni 2.79
Sc  0.5000  0.1940  0.0661  2 Ru 2.60, 2 Ni 2.79
Sc  0.5000  0.8060  0.9339  2 Ru 2.60, 2 Ni 2.79
Sc  0.5000  0.5000  0.0000  4 Ru 2.68
Sc  0.5000  0.3060  0.5661  2 Ru 2.60, 2 Ni 2.79
Ru  0.0000  0.8637  0.3637  6 Sc 2.60-2.68
Sc  0.5000  0.4339  0.3060  2 Ru 2.60, 2 Ni 2.79
Sc  0.5000  0.6940  0.4339  2 Ru 2.60, 2 Ni 2.79
Sc  0.5000  0.0000  0.5000  4 Ru 2.68
Sc  0.5000  0.5661  0.6940  2 Ru 2.60, 2 Ni 2.79
Ru  0.0000  0.3637  0.1363  6 Sc 2.60-2.68
Ru  0.0000  0.6363  0.8637  6 Sc 2.60-2.68
Ni  0.0000  0.0000  0.0000  8 Sc 2.79
In  0.0000  0.1748  0.3252  1 Ru 2.96, 6 Sc 3.18-3.30, 2 In 3.25
Sc  0.5000  0.0661  0.8060  2 Ru 2.60, 2 Ni 2.79

Energy of formation (eV per atom): -0.402
Space-group type: P4/mbm, No. 127
Crystal system: tetragonal

---

First-principles (PBE) data for an optimized crystal structure of NaTi2Re, as listed in Alexandria.

abc: 4.0020 4.0020 9.5679
angles: 77.93 77.93 90.00
Closest atoms and distances in Å follow each position.
Positions (direct):
Na  0.5000  0.5000  0.0000  4 Ti 2.73, 4 Re 2.83
Ti  0.6538  0.1250  0.2500  2 Re 2.65, 2 Ti 2.67, 2 Na 2.73
Na  0.2500  0.7500  0.5000  4 Ti 2.73, 4 Re 2.83
Ti  0.0962  0.6250  0.2500  2 Re 2.65, 2 Ti 2.67, 2 Na 2.73
Re  0.0000  0.0000  0.0000  4 Ti 2.65, 4 Na 2.83
Ti  0.8750  0.9038  0.7500  2 Re 2.65, 2 Ti 2.67, 2 Na 2.73
Re  0.7500  0.2500  0.5000  4 Ti 2.65, 4 Na 2.83
Ti  0.3750  0.3462  0.7500  2 Re 2.65, 2 Ti 2.67, 2 Na 2.73

Energy of formation (eV per atom): 1.127
Relative energy among the computed polymorphs (eV/atom): 0.788
Space-group type: I-42d, No. 122
Crystal system: tetragonal

---

First-principles (PBE) data for an optimized crystal structure of NiMo2Br, as listed in Alexandria.

abc: 4.4602 4.4602 4.4602
angles: 60.00 60.00 60.00
Closest atoms and distances in Å follow each position.
Positions (direct):
Ni  0.7500  0.7500  0.7500  4 Br 2.73, 4 Mo 2.73
Br  0.5000  0.5000  0.5000  4 Mo 2.73, 4 Ni 2.73
Mo  0.2500  0.2500  0.2500  4 Mo 2.73, 4 Br 2.73
Mo  0.0000  0.0000  0.0000  4 Mo 2.73, 4 Ni 2.73

Formation energy from raw total energies (meV per atom): 959
Relative energy among the computed polymorphs (eV/atom): 0.605
Space-group type: F-43m, No. 216
Crystal system: cubic

---

First-principles (PBE) data for an optimized crystal structure of HfZrAg2, as listed in Alexandria.

abc: 4.8558 4.8558 4.8558
angles: 60.00 60.00 60.00
Closest atoms and distances in Å follow each position.
Positions (direct):
Ag  0.7500  0.7500  0.7500  4 Zr 2.97, 4 Hf 2.97
Ag  0.2500  0.2500  0.2500  4 Hf 2.97, 4 Zr 2.97
Hf  0.5000  0.5000  0.5000  8 Ag 2.97
Zr  0.0000  0.0000  0.0000  8 Ag 2.97

Energy of formation (eV per atom): 0.068
Relative energy among the computed polymorphs (eV/atom): 0.179
Space-group type: Fm-3m, No. 225
Crystal system: cubic

---

First-principles (PBE) data for an optimized crystal structure of Pm2Sm3Hg7, as listed in Alexandria.

abc: 5.5286 5.2431 12.0256
angles: 102.59 90.00 90.00
Closest atoms and distances in Å follow each position.
Positions (direct):
Hg  0.0000  0.0000  0.0000  8 Hg 3.14-3.38, 2 Pm 3.36
Hg  0.5000  0.0826  0.1651  2 Pm 3.11, 4 Sm 3.26-3.30, 2 Hg 3.38
Sm  0.5000  0.3324  0.6647  4 Hg 3.06-3.30
Hg  0.0000  0.2768  0.5536  2 Hg 2.91, 2 Sm 3.06, 3 Pm 3.14-3.22
Pm  0.0000  0.1432  0.2864  8 Hg 3.09-3.36
Hg  0.0000  0.7232  0.4464  2 Hg 2.91, 2 Sm 3.06, 3 Pm 3.14-3.22
Sm  0.5000  0.6676  0.3353  4 Hg 3.06-3.30
Pm  0.0000  0.8568  0.7136  8 Hg 3.09-3.36
Hg  0.0000  0.5735  0.1469  2 Pm 3.09, 3 Hg 3.14-3.45, 2 Sm 3.26
Sm  0.5000  0.5000  0.0000  8 Hg 3.26
Hg  0.0000  0.4265  0.8531  2 Pm 3.09, 3 Hg 3.14-3.45, 2 Sm 3.26
Hg  0.5000  0.9174  0.8349  2 Pm 3.11, 4 Sm 3.26-3.30, 2 Hg 3.38

Energy of formation (eV per atom): -0.321
Space-group type: Cmmm, No. 65
Crystal system: orthorhombic